No. 1
YTl2Os GGA-PBE optimized geometry; space-group type = C2/m, No. 12; density of states at the Fermi level = 5.62 states/eV per cell; polymorph energy (0 for the lowest one) = 51 meV/atom; calculated formation energy = 0.263 eV/atom; magnetization = 0.0000 μB/atom
1.0
11.630 0.000 0.000
0.000 3.422 0.000
-2.222 0.000 4.642
Y Tl Os
2 4 2
Direct
0.000 0.000 0.000 Y
0.500 0.500 0.000 Y
0.218 0.000 0.719 Tl
0.282 0.500 0.281 Tl
0.718 0.500 0.719 Tl
0.782 0.000 0.281 Tl
0.000 0.500 0.500 Os
0.500 0.000 0.500 Os


No. 2
Ti8Ga3As2 GGA-PBE optimized geometry; space-group type = Cmmm, No. 65; density of states at the Fermi level = 12.47 states/eV per cell; calculated formation energy = -0.362 eV/atom; magnetization = 0.0002 μB/atom
1.0
4.213 -6.744 0.000
4.213 6.744 0.000
0.000 0.000 4.016
Ti Ga As
8 3 2
Direct
0.111 0.889 0.000 Ti
0.128 0.396 0.500 Ti
0.355 0.645 0.000 Ti
0.396 0.128 0.500 Ti
0.604 0.872 0.500 Ti
0.645 0.355 0.000 Ti
0.872 0.604 0.500 Ti
0.889 0.111 0.000 Ti
0.262 0.262 0.000 Ga
0.500 0.500 0.500 Ga
0.738 0.738 0.000 Ga
0.233 0.767 0.500 As
0.767 0.233 0.500 As


No. 3
Na3CuSb2 GGA-PBE optimized geometry; space-group type = Ibam, No. 72; density of states at the Fermi level = 5.00 states/eV per cell; raw formation energy = -0.22 eV/atom; magnetization = 0.0000 μB/atom
1.0
-3.009 8.408 3.083
3.009 -8.408 3.083
3.009 8.408 -3.083
Na Cu Sb
6 2 4
Direct
0.189 0.169 0.358 Na
0.250 0.250 0.000 Na
0.311 0.669 0.981 Na
0.689 0.331 0.019 Na
0.750 0.750 0.000 Na
0.811 0.831 0.642 Na
0.250 0.750 0.500 Cu
0.750 0.250 0.500 Cu
0.117 0.653 0.770 Sb
0.383 0.153 0.536 Sb
0.617 0.847 0.464 Sb
0.883 0.347 0.230 Sb


No. 4
Tb3Co2Ni7 GGA-PBE optimized geometry; space-group type = R-3m, No. 166; density of states at the Fermi level = 11.96 states/eV per cell; calculated formation energy = -0.339 eV/atom; magnetization = 0.3179 μB/atom
1.0
2.484 1.434 8.162
-2.484 1.434 8.162
0.000 -2.868 8.162
Tb Co Ni
3 2 7
Direct
0.000 0.000 0.000 Tb
0.138 0.138 0.138 Tb
0.862 0.862 0.862 Tb
0.333 0.333 0.333 Co
0.667 0.667 0.667 Co
0.081 0.581 0.581 Ni
0.419 0.419 0.919 Ni
0.419 0.919 0.419 Ni
0.500 0.500 0.500 Ni
0.581 0.081 0.581 Ni
0.581 0.581 0.081 Ni
0.919 0.419 0.419 Ni


No. 5
La4TbDy3Se8 GGA-PBE optimized geometry; space-group type = R-3m, No. 166; density of states at the Fermi level = 10.37 states/eV per cell; raw formation energy = -1.88 eV/atom; magnetization = 0.0000 μB/atom
1.0
4.170 2.408 6.940
-4.170 2.408 6.940
0.000 -4.815 6.940
La Tb Dy Se
4 1 3 8
Direct
0.000 0.000 0.000 La
0.000 0.500 0.500 La
0.500 0.000 0.500 La
0.500 0.500 0.000 La
0.500 0.500 0.500 Tb
0.000 0.000 0.500 Dy
0.000 0.500 0.000 Dy
0.500 0.000 0.000 Dy
0.243 0.243 0.243 Se
0.243 0.744 0.744 Se
0.256 0.256 0.757 Se
0.256 0.757 0.256 Se
0.744 0.243 0.744 Se
0.744 0.744 0.243 Se
0.757 0.256 0.256 Se
0.757 0.757 0.757 Se


No. 6
Nd2MnCd GGA-PBE optimized geometry; space-group type = P4/mmm, No. 123; density of states at the Fermi level = 4.06 states/eV per cell; polymorph energy (0 for the lowest one) = 0 meV/atom; calculated formation energy = -0.016 eV/atom; magnetization = 0.7496 μB/atom
1.0
3.675 0.000 0.000
0.000 3.675 0.000
0.000 0.000 7.899
Nd Mn Cd
2 1 1
Direct
0.000 0.000 0.231 Nd
0.000 0.000 0.769 Nd
0.500 0.500 0.000 Mn
0.500 0.500 0.500 Cd


No. 7
YZn2Os GGA-PBE optimized geometry; space-group type = R-3m, No. 166; density of states at the Fermi level = 9.57 states/eV per cell; polymorph energy (0 for the lowest one) = 449 meV/atom; calculated formation energy = 0.325 eV/atom; magnetization = 0.0000 μB/atom
1.0
2.922 0.000 0.000
-1.461 2.531 0.000
0.000 0.000 28.466
Y Zn Os
3 6 3
Direct
0.000 0.000 0.000 Y
0.333 0.667 0.667 Y
0.667 0.333 0.333 Y
0.000 0.000 0.240 Zn
0.000 0.000 0.760 Zn
0.333 0.667 0.427 Zn
0.333 0.667 0.907 Zn
0.667 0.333 0.093 Zn
0.667 0.333 0.573 Zn
0.000 0.000 0.500 Os
0.333 0.667 0.167 Os
0.667 0.333 0.833 Os


No. 8
PuTlAgSn GGA-PBE optimized geometry; space-group type = F-43m, No. 216; density of states at the Fermi level = 50.42 states/eV per cell; calculated formation energy = -0.069 eV/atom; magnetization = 1.4557 μB/atom
1.0
7.351 0.000 0.000
0.000 7.351 0.000
0.000 0.000 7.351
Pu Tl Ag Sn
4 4 4 4
Direct
0.000 0.000 0.000 Pu
0.000 0.500 0.500 Pu
0.500 0.000 0.500 Pu
0.500 0.500 0.000 Pu
0.250 0.250 0.750 Tl
0.250 0.750 0.250 Tl
0.750 0.250 0.250 Tl
0.750 0.750 0.750 Tl
0.000 0.000 0.500 Ag
0.000 0.500 0.000 Ag
0.500 0.000 0.000 Ag
0.500 0.500 0.500 Ag
0.250 0.250 0.250 Sn
0.250 0.750 0.750 Sn
0.750 0.250 0.750 Sn
0.750 0.750 0.250 Sn


No. 9
TbHo2Tm4 GGA-PBE optimized geometry; space-group type = P1, No. 1; density of states at the Fermi level = 22.40 states/eV per cell; polymorph energy (0 for the lowest one) = 77 meV/atom; calculated formation energy = 0.080 eV/atom; magnetization = 0.0000 μB/atom
1.0
5.955 0.000 0.000
2.972 7.781 0.000
2.954 -0.214 9.269
Tb Ho Tm
2 4 8
Direct
0.000 0.000 0.000 Tb
0.286 0.142 0.282 Tb
0.102 0.571 0.141 Ho
0.116 0.501 0.500 Ho
0.302 0.071 0.641 Ho
0.405 0.641 0.781 Ho
0.476 0.217 0.919 Tm
0.508 0.716 0.419 Tm
0.545 0.783 0.064 Tm
0.679 0.359 0.217 Tm
0.724 0.284 0.564 Tm
0.860 0.858 0.718 Tm
0.898 0.925 0.363 Tm
0.932 0.426 0.862 Tm


No. 10
Be2PtSe GGA-PBE optimized geometry; space-group type = Cm, No. 8; density of states at the Fermi level = 1.46 states/eV per cell; raw formation energy = -0.22 eV/atom; magnetization = 0.0000 μB/atom
1.0
7.107 0.000 0.000
0.000 2.972 0.000
-1.235 0.000 5.689
Be Pt Se
4 2 2
Direct
0.000 0.000 0.000 Be
0.201 0.500 0.824 Be
0.500 0.500 0.000 Be
0.701 0.000 0.824 Be
0.395 0.000 0.673 Pt
0.895 0.500 0.673 Pt
0.307 0.000 0.207 Se
0.807 0.500 0.207 Se


No. 11
Ba4Ir2Au GGA-PBE optimized geometry; space-group type = Imma, No. 74; density of states at the Fermi level = 9.34 states/eV per cell; calculated formation energy = -0.237 eV/atom; magnetization = 0.0000 μB/atom
1.0
-4.504 5.030 7.051
4.504 -5.030 7.051
4.504 5.030 -7.051
Ba Ir Au
8 4 2
Direct
0.223 0.220 0.497 Ba
0.223 0.726 0.003 Ba
0.253 0.234 0.019 Ba
0.284 0.766 0.519 Ba
0.716 0.234 0.481 Ba
0.747 0.766 0.981 Ba
0.777 0.274 0.997 Ba
0.777 0.780 0.503 Ba
0.000 0.000 0.500 Ir
0.000 0.500 0.000 Ir
0.068 0.318 0.750 Ir
0.932 0.682 0.250 Ir
0.000 0.000 0.000 Au
0.500 0.000 0.500 Au


No. 12
CaTaRh2 GGA-PBE optimized geometry; space-group type = Cm, No. 8; density of states at the Fermi level = 6.33 states/eV per cell; calculated formation energy = -0.190 eV/atom; magnetization = 0.0000 μB/atom
1.0
10.020 0.000 0.000
0.000 2.943 0.000
-0.836 0.000 4.791
Ca Ta Rh
2 2 4
Direct
0.000 0.000 0.000 Ca
0.500 0.500 0.000 Ca
0.278 0.500 0.386 Ta
0.778 0.000 0.386 Ta
0.018 0.500 0.507 Rh
0.249 0.000 0.853 Rh
0.518 0.000 0.507 Rh
0.749 0.500 0.853 Rh